Run P
! ReGeN2F, relaxed, DFT PBE; values from VASP
! space-group type: No. 123
! calculated density: 9.0 Mg/m³
! calculated volume: 56 Å³ per cell
&SYSTEM
  ibrav = 0, nat = 5, ntyp = 4
/
ATOMIC_SPECIES
Re 186.21 Re.upf
Ge 72.64 Ge.upf
N 14.01 N.upf
F 19.00 F.upf
CELL_PARAMETERS angstrom
3.896 0.000 0.000
0.000 3.896 0.000
0.000 0.000 3.700
ATOMIC_POSITIONS crystal
Re 0.500 0.500 0.500
Ge 0.000 0.000 0.000
N 0.000 0.500 0.000
N 0.500 0.000 0.000
F 0.000 0.000 0.500

Run Q
! ReGeN2F, relaxed, DFT PBE; values from VASP
! space-group type: No. 123
! calculated density: 7.9 Mg/m³
! calculated volume: 64 Å³ per cell
&SYSTEM
  ibrav = 0, nat = 5, ntyp = 4
/
ATOMIC_SPECIES
Re 186.21 Re.upf
Ge 72.64 Ge.upf
N 14.01 N.upf
F 19.00 F.upf
CELL_PARAMETERS angstrom
3.914 0.000 0.000
0.000 3.914 0.000
0.000 0.000 4.193
ATOMIC_POSITIONS crystal
Re 0.000 0.000 0.000
Ge 0.500 0.500 0.500
N 0.000 0.500 0.000
N 0.500 0.000 0.000
F 0.000 0.000 0.500

The winner here is run Q, beating the second structure by 880 meV/atom.

Run P
! GeRuN2F, relaxed, DFT PBE; values from VASP
! space-group type: No. 123
! calculated density: 5.8 Mg/m³
! calculated volume: 63 Å³ per cell
&SYSTEM
  ibrav = 0, nat = 5, ntyp = 4
/
ATOMIC_SPECIES
Ru 101.07 Ru.upf
Ge 72.64 Ge.upf
N 14.01 N.upf
F 19.00 F.upf
CELL_PARAMETERS angstrom
-0.452 3.531 -1.519
0.316 -1.490 -3.558
-4.169 -0.587 -0.125
ATOMIC_POSITIONS crystal
Ru 0.000 0.000 0.000
Ge 0.500 0.500 0.500
N 0.000 0.500 0.000
N 0.500 0.000 0.000
F 0.000 0.000 0.500

Run Q
! GeRuN2F, relaxed, DFT PBE; values from VASP
! space-group type: No. 123
! calculated density: 6.7 Mg/m³
! calculated volume: 55 Å³ per cell
&SYSTEM
  ibrav = 0, nat = 5, ntyp = 4
/
ATOMIC_SPECIES
Ru 101.07 Ru.upf
Ge 72.64 Ge.upf
N 14.01 N.upf
F 19.00 F.upf
CELL_PARAMETERS angstrom
3.840 0.000 0.000
0.000 3.840 0.000
0.000 0.000 3.719
ATOMIC_POSITIONS crystal
Ru 0.500 0.500 0.500
Ge 0.000 0.000 0.000
N 0.000 0.500 0.000
N 0.500 0.000 0.000
F 0.000 0.000 0.500

The winner here is run P, beating the second structure by 406 meV/atom.

Run P
! GeS2NF, relaxed, DFT PBE; values from VASP
! space-group type: No. 123
! calculated density: 3.4 Mg/m³
! calculated volume: 83 Å³ per cell
&SYSTEM
  ibrav = 0, nat = 5, ntyp = 4
/
ATOMIC_SPECIES
Ge 72.64 Ge.upf
N 14.01 N.upf
S 32.06 S.upf
F 19.00 F.upf
CELL_PARAMETERS angstrom
-3.854 2.157 -0.966
-1.530 -0.869 4.165
1.610 3.465 1.314
ATOMIC_POSITIONS crystal
Ge 0.500 0.500 0.500
N 0.000 0.000 0.500
S 0.000 0.500 0.000
S 0.500 0.000 0.000
F 0.000 0.000 0.000

Run Q
! GeS2NF, relaxed, DFT PBE; values from VASP
! space-group type: No. 123
! calculated density: 3.2 Mg/m³
! calculated volume: 88 Å³ per cell
&SYSTEM
  ibrav = 0, nat = 5, ntyp = 4
/
ATOMIC_SPECIES
Ge 72.64 Ge.upf
N 14.01 N.upf
S 32.06 S.upf
F 19.00 F.upf
CELL_PARAMETERS angstrom
4.935 0.000 0.000
0.000 4.935 0.000
0.000 0.000 3.617
ATOMIC_POSITIONS crystal
Ge 0.000 0.000 0.000
N 0.000 0.000 0.500
S 0.000 0.500 0.000
S 0.500 0.000 0.000
F 0.500 0.500 0.500

The winner here is run Q, beating the second structure by 466 meV/atom.

Run P
! GeSNF2, relaxed, DFT PBE; values from VASP
! space-group type: No. 123
! calculated density: 3.5 Mg/m³
! calculated volume: 74 Å³ per cell
&SYSTEM
  ibrav = 0, nat = 5, ntyp = 4
/
ATOMIC_SPECIES
Ge 72.64 Ge.upf
N 14.01 N.upf
S 32.06 S.upf
F 19.00 F.upf
CELL_PARAMETERS angstrom
4.754 0.000 0.000
0.000 4.754 0.000
0.000 0.000 3.262
ATOMIC_POSITIONS crystal
Ge 0.500 0.500 0.500
N 0.000 0.000 0.500
S 0.000 0.000 0.000
F 0.000 0.500 0.000
F 0.500 0.000 0.000

Run Q
! GeSNF2, relaxed, DFT PBE; values from VASP
! space-group type: No. 123
! calculated density: 4.3 Mg/m³
! calculated volume: 61 Å³ per cell
&SYSTEM
  ibrav = 0, nat = 5, ntyp = 4
/
ATOMIC_SPECIES
Ge 72.64 Ge.upf
N 14.01 N.upf
S 32.06 S.upf
F 19.00 F.upf
CELL_PARAMETERS angstrom
-1.300 3.396 1.294
-1.239 -1.706 3.233
3.606 0.711 1.757
ATOMIC_POSITIONS crystal
Ge 0.000 0.000 0.000
N 0.000 0.000 0.500
S 0.500 0.500 0.500
F 0.000 0.500 0.000
F 0.500 0.000 0.000

The winner here is run Q, beating the second structure by 84 meV/atom.

Run P
! GeSbN2F, relaxed, DFT PBE; values from VASP
! space-group type: No. 123
! calculated density: 5.8 Mg/m³
! calculated volume: 70 Å³ per cell
&SYSTEM
  ibrav = 0, nat = 5, ntyp = 4
/
ATOMIC_SPECIES
Sb 121.76 Sb.upf
Ge 72.64 Ge.upf
N 14.01 N.upf
F 19.00 F.upf
CELL_PARAMETERS angstrom
4.111 0.000 0.000
0.000 4.111 0.000
0.000 0.000 4.121
ATOMIC_POSITIONS crystal
Sb 0.000 0.000 0.000
Ge 0.500 0.500 0.500
N 0.000 0.500 0.000
N 0.500 0.000 0.000
F 0.000 0.000 0.500

Run Q
! GeSbN2F, relaxed, DFT PBE; values from VASP
! space-group type: No. 123
! calculated density: 6.7 Mg/m³
! calculated volume: 60 Å³ per cell
&SYSTEM
  ibrav = 0, nat = 5, ntyp = 4
/
ATOMIC_SPECIES
Sb 121.76 Sb.upf
Ge 72.64 Ge.upf
N 14.01 N.upf
F 19.00 F.upf
CELL_PARAMETERS angstrom
3.953 0.000 0.000
0.000 3.953 0.000
0.000 0.000 3.831
ATOMIC_POSITIONS crystal
Sb 0.500 0.500 0.500
Ge 0.000 0.000 0.000
N 0.000 0.500 0.000
N 0.500 0.000 0.000
F 0.000 0.000 0.500

The winner here is run Q, beating the second structure by 216 meV/atom.

Run P
! GeSeN2F, relaxed, DFT PBE; values from VASP
! space-group type: No. 123
! calculated density: 5.1 Mg/m³
! calculated volume: 65 Å³ per cell
&SYSTEM
  ibrav = 0, nat = 5, ntyp = 4
/
ATOMIC_SPECIES
Ge 72.64 Ge.upf
N 14.01 N.upf
Se 78.96 Se.upf
F 19.00 F.upf
CELL_PARAMETERS angstrom
3.934 0.000 0.000
0.000 3.934 0.000
0.000 0.000 4.190
ATOMIC_POSITIONS crystal
Ge 0.500 0.500 0.500
N 0.000 0.500 0.000
N 0.500 0.000 0.000
Se 0.000 0.000 0.000
F 0.000 0.000 0.500

Run Q
! GeSeN2F, relaxed, DFT PBE; values from VASP
! space-group type: No. 123
! calculated density: 4.3 Mg/m³
! calculated volume: 76 Å³ per cell
&SYSTEM
  ibrav = 0, nat = 5, ntyp = 4
/
ATOMIC_SPECIES
Ge 72.64 Ge.upf
N 14.01 N.upf
Se 78.96 Se.upf
F 19.00 F.upf
CELL_PARAMETERS angstrom
3.622 0.000 0.000
0.000 3.622 0.000
0.000 0.000 5.788
ATOMIC_POSITIONS crystal
Ge 0.000 0.000 0.000
N 0.000 0.500 0.000
N 0.500 0.000 0.000
Se 0.000 0.000 0.500
F 0.500 0.500 0.500

Run R
! GeSeN2F, relaxed, DFT PBE; values from VASP
! space-group type: No. 123
! calculated density: 5.7 Mg/m³
! calculated volume: 57 Å³ per cell
&SYSTEM
  ibrav = 0, nat = 5, ntyp = 4
/
ATOMIC_SPECIES
Ge 72.64 Ge.upf
N 14.01 N.upf
Se 78.96 Se.upf
F 19.00 F.upf
CELL_PARAMETERS angstrom
-2.723 -2.039 -1.923
2.290 -3.164 0.111
-1.555 -1.011 3.274
ATOMIC_POSITIONS crystal
Ge 0.000 0.000 0.000
N 0.000 0.500 0.000
N 0.500 0.000 0.000
Se 0.500 0.500 0.500
F 0.000 0.000 0.500

The winner here is run R, beating the second structure by 270 meV/atom.

Run P
! SiGeNF2, relaxed, DFT PBE; values from VASP
! space-group type: No. 123
! calculated density: 4.2 Mg/m³
! calculated volume: 60 Å³ per cell
&SYSTEM
  ibrav = 0, nat = 5, ntyp = 4
/
ATOMIC_SPECIES
Ge 72.64 Ge.upf
N 14.01 N.upf
Si 28.09 Si.upf
F 19.00 F.upf
CELL_PARAMETERS angstrom
-1.797 -3.484 -1.732
3.797 -1.154 -1.619
0.652 -1.700 2.743
ATOMIC_POSITIONS crystal
Ge 0.500 0.500 0.500
N 0.000 0.000 0.500
Si 0.000 0.000 0.000
F 0.000 0.500 0.000
F 0.500 0.000 0.000

Run Q
! SiGeNF2, relaxed, DFT PBE; values from VASP
! space-group type: No. 123
! calculated density: 3.9 Mg/m³
! calculated volume: 65 Å³ per cell
&SYSTEM
  ibrav = 0, nat = 5, ntyp = 4
/
ATOMIC_SPECIES
Ge 72.64 Ge.upf
N 14.01 N.upf
Si 28.09 Si.upf
F 19.00 F.upf
CELL_PARAMETERS angstrom
4.165 0.000 0.000
0.000 4.165 0.000
0.000 0.000 3.745
ATOMIC_POSITIONS crystal
Ge 0.000 0.000 0.000
N 0.000 0.000 0.500
Si 0.500 0.500 0.500
F 0.000 0.500 0.000
F 0.500 0.000 0.000

The winner here is run P, beating the second structure by 539 meV/atom.

Run P
! SnGeN2F, relaxed, DFT PBE; values from VASP
! space-group type: No. 123
! calculated density: 5.5 Mg/m³
! calculated volume: 72 Å³ per cell
&SYSTEM
  ibrav = 0, nat = 5, ntyp = 4
/
ATOMIC_SPECIES
Ge 72.64 Ge.upf
N 14.01 N.upf
Sn 118.71 Sn.upf
F 19.00 F.upf
CELL_PARAMETERS angstrom
-2.947 2.435 -1.593
-2.727 -1.520 2.721
1.023 3.007 2.705
ATOMIC_POSITIONS crystal
Ge 0.500 0.500 0.500
N 0.000 0.500 0.000
N 0.500 0.000 0.000
Sn 0.000 0.000 0.000
F 0.000 0.000 0.500

Run Q
! SnGeN2F, relaxed, DFT PBE; values from VASP
! space-group type: No. 123
! calculated density: 6.5 Mg/m³
! calculated volume: 61 Å³ per cell
&SYSTEM
  ibrav = 0, nat = 5, ntyp = 4
/
ATOMIC_SPECIES
Ge 72.64 Ge.upf
N 14.01 N.upf
Sn 118.71 Sn.upf
F 19.00 F.upf
CELL_PARAMETERS angstrom
3.909 0.000 0.000
0.000 3.909 0.000
0.000 0.000 4.007
ATOMIC_POSITIONS crystal
Ge 0.000 0.000 0.000
N 0.000 0.500 0.000
N 0.500 0.000 0.000
Sn 0.500 0.500 0.500
F 0.000 0.000 0.500

The winner here is run Q, beating the second structure by 281 meV/atom.

Run P
! SrGeN2F, relaxed, DFT PBE; values from VASP
! space-group type: No. 123
! calculated density: 5.4 Mg/m³
! calculated volume: 64 Å³ per cell
&SYSTEM
  ibrav = 0, nat = 5, ntyp = 4
/
ATOMIC_SPECIES
Sr 87.62 Sr.upf
Ge 72.64 Ge.upf
N 14.01 N.upf
F 19.00 F.upf
CELL_PARAMETERS angstrom
3.817 0.000 0.000
0.000 3.817 0.000
0.000 0.000 4.403
ATOMIC_POSITIONS crystal
Sr 0.500 0.500 0.500
Ge 0.000 0.000 0.000
N 0.000 0.500 0.000
N 0.500 0.000 0.000
F 0.000 0.000 0.500

Run Q
! SrGeN2F, relaxed, DFT PBE; values from VASP
! space-group type: No. 123
! calculated density: 3.2 Mg/m³
! calculated volume: 108 Å³ per cell
&SYSTEM
  ibrav = 0, nat = 5, ntyp = 4
/
ATOMIC_SPECIES
Sr 87.62 Sr.upf
Ge 72.64 Ge.upf
N 14.01 N.upf
F 19.00 F.upf
CELL_PARAMETERS angstrom
4.919 0.000 0.000
0.000 4.919 0.000
0.000 0.000 4.464
ATOMIC_POSITIONS crystal
Sr 0.000 0.000 0.000
Ge 0.500 0.500 0.500
N 0.000 0.500 0.000
N 0.500 0.000 0.000
F 0.000 0.000 0.500

The winner here is run P, beating the second structure by 1448 meV/atom.

Run P
! GeTe2NF, relaxed, DFT PBE; values from VASP
! space-group type: No. 123
! calculated density: 5.5 Mg/m³
! calculated volume: 110 Å³ per cell
&SYSTEM
  ibrav = 0, nat = 5, ntyp = 4
/
ATOMIC_SPECIES
N 14.01 N.upf
Ge 72.64 Ge.upf
Te 127.60 Te.upf
F 19.00 F.upf
CELL_PARAMETERS angstrom
-0.565 4.805 2.875
-5.599 -0.441 -0.363
-0.052 -1.779 2.964
ATOMIC_POSITIONS crystal
N 0.000 0.000 0.500
Ge 0.000 0.000 0.000
Te 0.000 0.500 0.000
Te 0.500 0.000 0.000
F 0.500 0.500 0.500

Run Q
! GeTe2NF, relaxed, DFT PBE; values from VASP
! space-group type: No. 123
! calculated density: 6.0 Mg/m³
! calculated volume: 100 Å³ per cell
&SYSTEM
  ibrav = 0, nat = 5, ntyp = 4
/
ATOMIC_SPECIES
N 14.01 N.upf
Ge 72.64 Ge.upf
Te 127.60 Te.upf
F 19.00 F.upf
CELL_PARAMETERS angstrom
-1.253 -0.675 -4.560
4.451 -1.407 -1.015
-1.099 -4.138 0.915
ATOMIC_POSITIONS crystal
N 0.000 0.000 0.500
Ge 0.500 0.500 0.500
Te 0.000 0.500 0.000
Te 0.500 0.000 0.000
F 0.000 0.000 0.000

The winner here is run P, beating the second structure by 484 meV/atom.

Run P
! TlGeNF2, relaxed, DFT PBE; values from VASP
! space-group type: No. 123
! calculated density: 6.4 Mg/m³
! calculated volume: 85 Å³ per cell
&SYSTEM
  ibrav = 0, nat = 5, ntyp = 4
/
ATOMIC_SPECIES
Tl 204.38 Tl.upf
N 14.01 N.upf
Ge 72.64 Ge.upf
F 19.00 F.upf
CELL_PARAMETERS angstrom
4.482 0.000 0.000
0.000 4.482 0.000
0.000 0.000 4.249
ATOMIC_POSITIONS crystal
Tl 0.000 0.000 0.000
N 0.000 0.000 0.500
Ge 0.500 0.500 0.500
F 0.000 0.500 0.000
F 0.500 0.000 0.000

Run Q
! TlGeNF2, relaxed, DFT PBE; values from VASP
! space-group type: No. 123
! calculated density: 7.6 Mg/m³
! calculated volume: 72 Å³ per cell
&SYSTEM
  ibrav = 0, nat = 5, ntyp = 4
/
ATOMIC_SPECIES
Tl 204.38 Tl.upf
N 14.01 N.upf
Ge 72.64 Ge.upf
F 19.00 F.upf
CELL_PARAMETERS angstrom
-0.514 3.891 -2.323
-1.794 -2.321 -3.492
-3.151 0.394 1.357
ATOMIC_POSITIONS crystal
Tl 0.500 0.500 0.500
N 0.000 0.000 0.500
Ge 0.000 0.000 0.000
F 0.000 0.500 0.000
F 0.500 0.000 0.000

The winner here is run Q, beating the second structure by 775 meV/atom.

Run P
! TlGeN2F, relaxed, DFT PBE; values from VASP
! space-group type: No. 123
! calculated density: 6.4 Mg/m³
! calculated volume: 84 Å³ per cell
&SYSTEM
  ibrav = 0, nat = 5, ntyp = 4
/
ATOMIC_SPECIES
Tl 204.38 Tl.upf
N 14.01 N.upf
Ge 72.64 Ge.upf
F 19.00 F.upf
CELL_PARAMETERS angstrom
4.317 0.000 0.000
0.000 4.317 0.000
0.000 0.000 4.483
ATOMIC_POSITIONS crystal
Tl 0.000 0.000 0.000
N 0.000 0.500 0.000
N 0.500 0.000 0.000
Ge 0.500 0.500 0.500
F 0.000 0.000 0.500

Run Q
! TlGeN2F, relaxed, DFT PBE; values from VASP
! space-group type: No. 123
! calculated density: 8.7 Mg/m³
! calculated volume: 62 Å³ per cell
&SYSTEM
  ibrav = 0, nat = 5, ntyp = 4
/
ATOMIC_SPECIES
Tl 204.38 Tl.upf
N 14.01 N.upf
Ge 72.64 Ge.upf
F 19.00 F.upf
CELL_PARAMETERS angstrom
-1.773 -1.639 3.115
2.319 -3.167 -0.346
2.668 1.691 2.409
ATOMIC_POSITIONS crystal
Tl 0.500 0.500 0.500
N 0.000 0.500 0.000
N 0.500 0.000 0.000
Ge 0.000 0.000 0.000
F 0.000 0.000 0.500

The winner here is run Q, beating the second structure by 853 meV/atom.